No. 1
Compound: Ba6GeS2I3
Source: Alexandria via LeMat-Bulk
Functional: PBE
Structure: relaxed

**Space group**: C2/m
**Volume**: 40.5 Å³/atom
**ΔE_f (raw)**: -35.4 kcal/mol of atoms
**Total magnetic moment**: 0.00 μB/f.u.

Unit cell a=8.2096 b=8.2096 c=8.7672 alpha=98.97 beta=98.97 gamma=120.00
Sites, in units of the cell vectors:
Ba 0.0964 0.4316 0.7947
Ba 0.2330 0.2330 0.2050
Ba 0.4316 0.0964 0.7947
Ba 0.5684 0.9036 0.2053
Ba 0.7670 0.7670 0.7950
Ba 0.9036 0.5684 0.2053
Ge 0.5000 0.5000 0.0000
S 0.1667 0.8333 0.0000
S 0.8333 0.1667 0.0000
I 0.0000 0.0000 0.5000
I 0.3342 0.6658 0.5000
I 0.6658 0.3342 0.5000

***

No. 2
Compound: Ba8GeS3I4
Source: Alexandria via LeMat-Bulk
Functional: PBE
Structure: relaxed

**Space group**: R-3m
**Volume**: 39.9 Å³/atom
**ΔE_f (raw)**: -36.4 kcal/mol of atoms
**Total magnetic moment**: 0.00 μB/f.u.

Unit cell a=9.9140 b=9.9140 c=9.9140 alpha=56.80 beta=56.80 gamma=56.80
Sites, in units of the cell vectors:
Ba 0.2341 0.2341 0.2341
Ba 0.2355 0.7357 0.7357
Ba 0.2643 0.2643 0.7645
Ba 0.2643 0.7645 0.2643
Ba 0.7357 0.2355 0.7357
Ba 0.7357 0.7357 0.2355
Ba 0.7645 0.2643 0.2643
Ba 0.7659 0.7659 0.7659
Ge 0.5000 0.5000 0.5000
S 0.0000 0.0000 0.5000
S 0.0000 0.5000 0.0000
S 0.5000 0.0000 0.0000
I 0.0000 0.0000 0.0000
I 0.0000 0.5000 0.5000
I 0.5000 0.0000 0.5000
I 0.5000 0.5000 0.0000

***

No. 3
Compound: BaGe2SbI
Source: Alexandria via LeMat-Bulk
Functional: PBE
Structure: relaxed

**Space group**: P4/mmm
**Volume**: 39.1 Å³/atom
**ΔE_f (raw)**: 9.5 kcal/mol of atoms
**Total magnetic moment**: 0.00 μB/f.u.

Unit cell a=5.5210 b=5.5210 c=6.4163 alpha=90.00 beta=90.00 gamma=90.00
Sites, in units of the cell vectors:
Ba 0.0000 0.0000 0.0000
Ge 0.0000 0.5000 0.5000
Ge 0.5000 0.0000 0.5000
Sb 0.5000 0.5000 0.0000
I 0.0000 0.0000 0.5000

***

No. 4
Compound: Ba6Ge2SbI3
Source: Alexandria via LeMat-Bulk
Functional: PBE
Structure: relaxed

**Space group**: C2/m
**Volume**: 45.1 Å³/atom
**ΔE_f (raw)**: -25.1 kcal/mol of atoms
**Total magnetic moment**: 2.11 μB/f.u.

Unit cell a=11.4424 b=11.4424 c=10.2762 alpha=107.23 beta=107.23 gamma=25.00
Sites, in units of the cell vectors:
Ba 0.0112 0.0112 0.2367
Ba 0.3266 0.3266 0.4306
Ba 0.3373 0.3373 0.8839
Ba 0.6627 0.6627 0.1161
Ba 0.6734 0.6734 0.5694
Ba 0.9888 0.9888 0.7633
Ge 0.1704 0.1704 0.3452
Ge 0.8296 0.8296 0.6548
Sb 0.5000 0.5000 0.0000
I 0.1647 0.1647 0.8395
I 0.5000 0.5000 0.5000
I 0.8353 0.8353 0.1605

***

No. 5
Compound: Ba6GeSb2I3
Source: Alexandria via LeMat-Bulk
Functional: PBE
Structure: relaxed

**Space group**: C2/m
**Volume**: 46.2 Å³/atom
**ΔE_f (raw)**: -28.4 kcal/mol of atoms
**Total magnetic moment**: 1.08 μB/f.u.

Unit cell a=8.6808 b=8.6808 c=8.9810 alpha=99.29 beta=99.29 gamma=120.03
Sites, in units of the cell vectors:
Ba 0.0716 0.3975 0.2152
Ba 0.2537 0.2537 0.7841
Ba 0.3975 0.0716 0.2152
Ba 0.6025 0.9284 0.7848
Ba 0.7463 0.7463 0.2159
Ba 0.9284 0.6025 0.7848
Ge 0.0000 0.0000 0.0000
Sb 0.3336 0.6664 0.0000
Sb 0.6664 0.3336 0.0000
I 0.1692 0.8308 0.5000
I 0.5000 0.5000 0.5000
I 0.8308 0.1692 0.5000

***

No. 6
Compound: Ba8GeSb3I4
Source: Alexandria via LeMat-Bulk
Functional: PBE
Structure: relaxed

**Space group**: C2/m
**Volume**: 46.5 Å³/atom
**ΔE_f (raw)**: -29.4 kcal/mol of atoms
**Total magnetic moment**: 1.08 μB/f.u.

Unit cell a=10.0755 b=10.0755 c=10.2747 alpha=119.38 beta=119.38 gamma=60.02
Sites, in units of the cell vectors:
Ba 0.2358 0.2358 0.7155
Ba 0.2358 0.7442 0.7153
Ba 0.2558 0.7642 0.2847
Ba 0.2613 0.2613 0.2844
Ba 0.7387 0.7387 0.7156
Ba 0.7442 0.2358 0.7153
Ba 0.7642 0.2558 0.2847
Ba 0.7642 0.7642 0.2845
Ge 0.0000 0.0000 0.5000
Sb 0.0000 0.5000 0.5000
Sb 0.5000 0.0000 0.5000
Sb 0.5000 0.5000 0.5000
I 0.0000 0.0000 0.0000
I 0.0000 0.5000 0.0000
I 0.5000 0.0000 0.0000
I 0.5000 0.5000 0.0000

***

No. 7
Compound: Ba4GeSeI2
Source: Alexandria via LeMat-Bulk
Functional: PBE
Structure: relaxed

**Space group**: P2/m
**Volume**: 43.4 Å³/atom
**ΔE_f (raw)**: -32.6 kcal/mol of atoms
**Total magnetic moment**: 0.00 μB/f.u.

Unit cell a=8.4381 b=4.8922 c=8.8740 alpha=90.00 beta=108.62 gamma=90.00
Sites, in units of the cell vectors:
Ba 0.2295 0.0000 0.2091
Ba 0.2552 0.5000 0.7959
Ba 0.7448 0.5000 0.2041
Ba 0.7705 0.0000 0.7909
Ge 0.0000 0.5000 0.0000
Se 0.5000 0.0000 0.0000
I 0.0000 0.0000 0.5000
I 0.5000 0.5000 0.5000

***

No. 8
Compound: Ba8GeSe3I4
Source: Alexandria via LeMat-Bulk
Functional: PBE
Structure: relaxed

**Space group**: R-3m
**Volume**: 41.6 Å³/atom
**ΔE_f (raw)**: -36.3 kcal/mol of atoms
**Total magnetic moment**: 0.00 μB/f.u.

Unit cell a=9.9591 b=9.9591 c=9.9591 alpha=57.93 beta=57.93 gamma=57.93
Sites, in units of the cell vectors:
Ba 0.2374 0.2374 0.2374
Ba 0.2441 0.7339 0.7339
Ba 0.2661 0.2661 0.7559
Ba 0.2661 0.7559 0.2661
Ba 0.7339 0.2441 0.7339
Ba 0.7339 0.7339 0.2441
Ba 0.7559 0.2661 0.2661
Ba 0.7626 0.7626 0.7626
Ge 0.5000 0.5000 0.5000
Se 0.0000 0.0000 0.5000
Se 0.0000 0.5000 0.0000
Se 0.5000 0.0000 0.0000
I 0.0000 0.0000 0.0000
I 0.0000 0.5000 0.5000
I 0.5000 0.0000 0.5000
I 0.5000 0.5000 0.0000

***

No. 9
Compound: Ba4GeTeI2
Source: Alexandria via LeMat-Bulk
Functional: PBE
Structure: relaxed

**Space group**: P2/m
**Volume**: 45.7 Å³/atom
**ΔE_f (raw)**: -31.0 kcal/mol of atoms
**Total magnetic moment**: 0.00 μB/f.u.

Unit cell a=8.7315 b=4.9811 c=8.8828 alpha=90.00 beta=108.94 gamma=90.00
Sites, in units of the cell vectors:
Ba 0.2224 0.0000 0.2118
Ba 0.2406 0.5000 0.7880
Ba 0.7594 0.5000 0.2120
Ba 0.7776 0.0000 0.7882
Ge 0.0000 0.5000 0.0000
Te 0.5000 0.0000 0.0000
I 0.0000 0.0000 0.5000
I 0.5000 0.5000 0.5000

***

No. 10
Compound: Ba8GeTe3I4
Source: Alexandria via LeMat-Bulk
Functional: PBE
Structure: relaxed

**Space group**: R-3m
**Volume**: 44.7 Å³/atom
**ΔE_f (raw)**: -34.1 kcal/mol of atoms
**Total magnetic moment**: 0.00 μB/f.u.

Unit cell a=10.0618 b=10.0618 c=10.0618 alpha=59.67 beta=59.67 gamma=59.67
Sites, in units of the cell vectors:
Ba 0.2428 0.2428 0.2428
Ba 0.2579 0.7308 0.7308
Ba 0.2692 0.2692 0.7421
Ba 0.2692 0.7421 0.2692
Ba 0.7308 0.2579 0.7308
Ba 0.7308 0.7308 0.2579
Ba 0.7421 0.2692 0.2692
Ba 0.7572 0.7572 0.7572
Ge 0.5000 0.5000 0.5000
Te 0.0000 0.0000 0.5000
Te 0.0000 0.5000 0.0000
Te 0.5000 0.0000 0.0000
I 0.0000 0.0000 0.0000
I 0.0000 0.5000 0.5000
I 0.5000 0.0000 0.5000
I 0.5000 0.5000 0.0000

***

No. 11
Compound: BaGe2TeI
Source: Alexandria via LeMat-Bulk
Functional: PBE
Structure: relaxed

**Space group**: P4/mmm
**Volume**: 41.6 Å³/atom
**ΔE_f (raw)**: 1.0 kcal/mol of atoms
**Total magnetic moment**: 0.00 μB/f.u.

Unit cell a=5.2738 b=5.2738 c=7.4743 alpha=90.00 beta=90.00 gamma=90.00
Sites, in units of the cell vectors:
Ba 0.0000 0.0000 0.0000
Ge 0.0000 0.5000 0.5000
Ge 0.5000 0.0000 0.5000
Te 0.5000 0.5000 0.5000
I 0.5000 0.5000 0.0000

***

No. 12
Compound: Ba3In4Ge2
Source: Alexandria via LeMat-Bulk
Functional: PBE
Structure: relaxed

**Space group**: C2/m
**Volume**: 33.5 Å³/atom
**ΔH_f (0 K)**: -0.459 eV per atom
**Total magnetic moment**: 0.00 μB/f.u.

Unit cell a=6.9437 b=6.9437 c=9.7976 alpha=97.90 beta=97.90 gamma=40.15
Sites, in units of the cell vectors:
Ba 0.0000 0.0000 0.0000
Ba 0.3247 0.3247 0.3471
Ba 0.6753 0.6753 0.6529
In 0.0292 0.0292 0.3597
In 0.2626 0.2626 0.9240
In 0.7374 0.7374 0.0760
In 0.9708 0.9708 0.6403
Ge 0.3788 0.3788 0.7119
Ge 0.6212 0.6212 0.2881

***

Number 1: N(E_F) 3.92 states/eV/cell. Number 2: N(E_F) 6.98 states/eV/cell. Number 3: N(E_F) 4.41 states/eV/cell. Number 4: N(E_F) 5.03 states/eV/cell. Number 5: N(E_F) 7.99 states/eV/cell. Number 6: N(E_F) 7.92 states/eV/cell. Number 7: N(E_F) 1.47 states/eV/cell. Number 8: N(E_F) 6.81 states/eV/cell. Number 9: N(E_F) 2.02 states/eV/cell. Number 10: N(E_F) 6.57 states/eV/cell. Number 11: N(E_F) 4.19 states/eV/cell. Number 12: N(E_F) 3.23 states/eV/cell.